Record 1
# K3CoOs, relaxed, DFT PBE-GGA
data_K3CoOs
_chemical_formula_sum 'K3 Co1 Os1'
_cell_length_a 6.170
_cell_length_b 6.170
_cell_length_c 6.170
_cell_angle_alpha 90.00
_cell_angle_beta 90.00
_cell_angle_gamma 90.00
_symmetry_space_group_name_H-M 'P 1'
_symmetry_Int_Tables_number 1
_symmetry_space_group_name_Hall 'P 1'
loop_
_atom_site_label
_atom_site_fract_x
_atom_site_fract_y
_atom_site_fract_z
_atom_site_occupancy
K1 0.000 0.000 0.500 1
K2 0.000 0.500 0.000 1
K3 0.500 0.000 0.000 1
Co1 0.500 0.500 0.500 1
Os1 0.000 0.000 0.000 1
# - DFT formation energy: 1.782 eV per atom
# - D(E_F): 6.4 states/eV per cell
# - Space group: Pm-3m, No. 221
# - Electronic total energy: -2.544 eV/atom
# - Energy above the lowest structure with this stoichiometry: 0.000 eV per atom

---

Record 2
# Tb2Nd2Sm, relaxed, DFT PBE-GGA
data_Tb2Nd2Sm
_chemical_formula_sum 'Tb4 Nd4 Sm2'
_cell_length_a 8.625
_cell_length_b 8.625
_cell_length_c 6.890
_cell_angle_alpha 103.50
_cell_angle_beta 103.50
_cell_angle_gamma 43.20
_symmetry_space_group_name_H-M 'P 1'
_symmetry_Int_Tables_number 1
_symmetry_space_group_name_Hall 'P 1'
loop_
_atom_site_label
_atom_site_fract_x
_atom_site_fract_y
_atom_site_fract_z
_atom_site_occupancy
Tb1 0.016 0.181 0.451 1
Tb2 0.181 0.016 0.951 1
Tb3 0.819 0.984 0.049 1
Tb4 0.984 0.819 0.549 1
Nd1 0.216 0.384 0.850 1
Nd2 0.384 0.216 0.350 1
Nd3 0.616 0.784 0.650 1
Nd4 0.784 0.616 0.150 1
Sm1 0.417 0.583 0.250 1
Sm2 0.583 0.417 0.750 1
# - DFT formation energy: 0.026 eV per atom
# - D(E_F): 17.3 states/eV per cell
# - Space group: C2/c, No. 15
# - Electronic total energy: -4.677 eV/atom
# - Energy above the lowest structure with this stoichiometry: 0.000 eV per atom

---

Record 3
# Pm5Nd12Hg2, relaxed, DFT PBE-GGA
data_Pm5Nd12Hg2
_chemical_formula_sum 'Pm5 Nd12 Hg2'
_cell_length_a 9.159
_cell_length_b 9.159
_cell_length_c 8.671
_cell_angle_alpha 93.07
_cell_angle_beta 93.07
_cell_angle_gamma 62.09
_symmetry_space_group_name_H-M 'P 1'
_symmetry_Int_Tables_number 1
_symmetry_space_group_name_Hall 'P 1'
loop_
_atom_site_label
_atom_site_fract_x
_atom_site_fract_y
_atom_site_fract_z
_atom_site_occupancy
Pm1 0.000 0.000 0.000 1
Pm2 0.234 0.234 0.084 1
Pm3 0.314 0.314 0.494 1
Pm4 0.686 0.686 0.506 1
Pm5 0.766 0.766 0.916 1
Nd1 0.035 0.668 0.265 1
Nd2 0.080 0.080 0.383 1
Nd3 0.184 0.570 0.841 1
Nd4 0.332 0.965 0.735 1
Nd5 0.430 0.816 0.159 1
Nd6 0.445 0.445 0.190 1
Nd7 0.555 0.555 0.810 1
Nd8 0.570 0.184 0.841 1
Nd9 0.668 0.035 0.265 1
Nd10 0.816 0.430 0.159 1
Nd11 0.920 0.920 0.617 1
Nd12 0.965 0.332 0.735 1
Hg1 0.314 0.686 0.500 1
Hg2 0.686 0.314 0.500 1
# - DFT formation energy: -0.002 eV per atom
# - D(E_F): 28.4 states/eV per cell
# - Space group: C2/m, No. 12
# - Electronic total energy: -4.295 eV/atom

---

Record 4
# DyScBi2O6, relaxed, DFT PBE-GGA
data_DyScBi2O6
_chemical_formula_sum 'Dy1 Sc1 Bi2 O6'
_cell_length_a 6.040
_cell_length_b 6.040
_cell_length_c 6.040
_cell_angle_alpha 58.53
_cell_angle_beta 58.53
_cell_angle_gamma 58.53
_symmetry_space_group_name_H-M 'P 1'
_symmetry_Int_Tables_number 1
_symmetry_space_group_name_Hall 'P 1'
loop_
_atom_site_label
_atom_site_fract_x
_atom_site_fract_y
_atom_site_fract_z
_atom_site_occupancy
Dy1 0.000 0.000 0.000 1
Sc1 0.497 0.497 0.497 1
Bi1 0.284 0.284 0.284 1
Bi2 0.784 0.784 0.784 1
O1 0.144 0.685 0.354 1
O2 0.205 0.638 0.830 1
O3 0.354 0.144 0.685 1
O4 0.638 0.830 0.205 1
O5 0.685 0.354 0.144 1
O6 0.830 0.205 0.638 1
# - D(E_F): 0.0 states/eV per cell
# - Formation energy without anion corrections: -2277 kJ/mol of formula units
# - Space group: R3, No. 146
# - Electronic total energy: -7.205 eV/atom

---

Question: The highest electronic total energy belongs to which entry?
Answer: K3CoOs

---

Question: Which of these has the highest D(E_F)?
Answer: Pm5Nd12Hg2

---

Question: Among the records above, which one has the lowest D(E_F)?
Answer: DyScBi2O6